(1)
{
  "formula": "LaLuSO2",
  "functional": "PBE-GGA",
  "state": "relaxed",
  "crystal_system": "trigonal",
  "total_energy_ev_per_atom": -7.85,
  "cell": [[3.873, 0.000, 0.000], [-1.937, 3.354, 0.000], [0.000, 0.000, 6.669]],
  "species": ["La", "Lu", "S", "O", "O"],
  "frac_coords": [[0.000, 0.000, 0.000], [0.333, 0.667, 0.563], [0.667, 0.333, 0.296], [0.000, 0.000, 0.637], [0.333, 0.667, 0.892]]
}

---

(2)
{
  "formula": "LaLuPa",
  "functional": "PBE-GGA",
  "state": "relaxed",
  "de_polymorph_mev_per_atom": 0,
  "formation_energy_ev_per_atom": 1.032,
  "crystal_system": "cubic",
  "cell": [[0.000, 3.711, 3.711], [3.711, 0.000, 3.711], [3.711, 3.711, 0.000]],
  "species": ["La", "Lu", "Pa"],
  "frac_coords": [[0.000, 0.000, 0.000], [0.250, 0.250, 0.250], [0.500, 0.500, 0.500]]
}

---

(3)
{
  "formula": "LaLuTe3Pb",
  "functional": "PBE-GGA",
  "state": "relaxed",
  "crystal_system": "orthorhombic",
  "total_energy_ev_per_atom": -4.69,
  "cell": [[2.264, -7.675, 0.000], [2.264, 7.675, 0.000], [0.000, 0.000, 12.279]],
  "species": ["La", "La", "Lu", "Lu", "Te", "Te", "Te", "Te", "Te", "Te", "Pb", "Pb"],
  "frac_coords": [[0.000, 0.000, 0.000], [0.000, 0.000, 0.500], [0.471, 0.529, 0.750], [0.529, 0.471, 0.250], [0.095, 0.905, 0.750], [0.355, 0.645, 0.557], [0.355, 0.645, 0.943], [0.645, 0.355, 0.057], [0.645, 0.355, 0.443], [0.905, 0.095, 0.250], [0.199, 0.801, 0.250], [0.801, 0.199, 0.750]]
}

---

(4)
{
  "formula": "LaPmLu",
  "functional": "PBE-GGA",
  "state": "relaxed",
  "de_polymorph_mev_per_atom": 0,
  "formation_energy_ev_per_atom": 0.654,
  "crystal_system": "cubic",
  "cell": [[0.000, 3.891, 3.891], [3.891, 0.000, 3.891], [3.891, 3.891, 0.000]],
  "species": ["La", "Pm", "Lu"],
  "frac_coords": [[0.000, 0.000, 0.000], [0.500, 0.500, 0.500], [0.250, 0.250, 0.250]]
}